No. 1
Material: TlOsNO
Method: DFT, PBE-GGA
State: relaxed

Volume (Å³/atom): 18.64
Offset from the most stable computed form (meV per atom): 574
SG: P4/nmm (129)
E (eV per cell): -49.1

Unit cell a=4.1609 b=4.1609 c=8.6149 alpha=90.00 beta=90.00 gamma=90.00
Last column: nearest neighbours and their distance in Å.
Fractional positions:
Tl1 0.2500 0.7500 0.0000  4 N 2.82, 4 Tl 2.94
Tl2 0.7500 0.2500 0.0000  4 N 2.82, 4 Tl 2.94
Os1 0.2500 0.2500 0.4196  1 N 1.71
Os2 0.7500 0.7500 0.5804  1 N 1.71
N1 0.2500 0.2500 0.2214  1 Os 1.71
N2 0.7500 0.7500 0.7786  1 Os 1.71
O1 0.2500 0.7500 0.5000  4 Os 2.19
O2 0.7500 0.2500 0.5000  4 Os 2.19

No. 2
Material: ZnOsNO
Method: DFT, PBE-GGA
State: relaxed

Volume (Å³/atom): 11.15
Offset from the most stable computed form (meV per atom): 188
SG: Pmc2_1 (26)
E (eV per cell): -52.2

Unit cell a=2.8523 b=6.3310 c=4.9400 alpha=90.00 beta=90.00 gamma=90.00
Last column: nearest neighbours and their distance in Å.
Fractional positions:
Zn1 0.0000 0.0947 0.0000  2 N 1.96-1.98, 2 O 2.00
Zn2 0.0000 0.9053 0.5000  2 N 1.96-1.98, 2 O 2.00
Os1 0.5000 0.4200 0.5540  2 O 2.00-2.13, 2 N 2.02
Os2 0.5000 0.5800 0.0540  2 O 2.00-2.13, 2 N 2.02
N1 0.0000 0.1996 0.6219  2 Zn 1.96-1.98, 2 Os 2.02
N2 0.0000 0.8004 0.1219  2 Zn 1.96-1.98, 2 Os 2.02
O1 0.5000 0.2764 0.1630  2 Os 2.00-2.13, 2 Zn 2.00
O2 0.5000 0.7236 0.6630  2 Os 2.00-2.13, 2 Zn 2.00

No. 3
Material: ZnOsNO
Method: DFT, PBE-GGA
State: relaxed

Volume (Å³/atom): 12.60
Offset from the most stable computed form (meV per atom): 407
SG: P4/nmm (129)
E (eV per cell): -50.5

Unit cell a=3.7667 b=3.7667 c=7.1029 alpha=90.00 beta=90.00 gamma=90.00
Last column: nearest neighbours and their distance in Å.
Fractional positions:
Zn1 0.2500 0.2500 0.0819  4 O 1.97
Zn2 0.7500 0.7500 0.9181  4 O 1.97
Os1 0.2500 0.7500 0.5000  4 N 2.08
Os2 0.7500 0.2500 0.5000  4 N 2.08
N1 0.2500 0.2500 0.6240  4 Os 2.08
N2 0.7500 0.7500 0.3760  4 Os 2.08
O1 0.2500 0.7500 0.0000  4 Zn 1.97
O2 0.7500 0.2500 0.0000  4 Zn 1.97

No. 4
Material: ZnOsNO
Method: DFT, PBE-GGA
State: relaxed

Volume (Å³/atom): 11.41
Offset from the most stable computed form (meV per atom): 176
SG: Pmc2_1 (26)
E (eV per cell): -52.3

Unit cell a=2.8397 b=6.3540 c=5.0601 alpha=90.00 beta=90.00 gamma=90.00
Last column: nearest neighbours and their distance in Å.
Fractional positions:
Zn1 0.0000 0.1258 0.0000  2 N 1.97, 2 O 1.99-2.00
Zn2 0.0000 0.8742 0.5000  2 N 1.97, 2 O 1.99-2.00
Os1 0.5000 0.4151 0.5193  2 N 1.94-1.98, 2 O 2.13
Os2 0.5000 0.5849 0.0193  2 N 1.94-1.98, 2 O 2.13
N1 0.5000 0.3002 0.1562  2 Os 1.94-1.98, 2 Zn 1.97
N2 0.5000 0.6998 0.6562  2 Os 1.94-1.98, 2 Zn 1.97
O1 0.0000 0.1756 0.6091  2 Zn 1.99-2.00, 2 Os 2.13
O2 0.0000 0.8244 0.1091  2 Zn 1.99-2.00, 2 Os 2.13

Look up the offset from the most stable computed form of the fourth one.
176 meV per atom